1.
First-principles (GGA-PBE) data for an optimized crystal structure of K3Tc2N4, as listed in Alexandria via LeMat-Bulk.

Cell lengths 9.6806, 9.6806, 9.6806 Å; angles 142.98, 64.39, 129.32 degrees
With the nearest neighbours (Å) after each atom.
Fractional coordinates of all 18 atoms:
K: 0.1710 0.0678 0.1032  5 N 2.87-3.11
K: 0.2412 0.4912 0.7500  2 N 2.95
K: 0.4646 0.0678 0.3968  5 N 2.87-3.11
K: 0.5354 0.9322 0.6032  5 N 2.87-3.11
K: 0.7588 0.5088 0.2500  2 N 2.95
K: 0.8290 0.9322 0.8968  5 N 2.87-3.11
Tc: 0.0945 0.6343 0.4603  4 N 1.87-1.96
Tc: 0.3260 0.3657 0.9603  4 N 1.87-1.96
Tc: 0.6740 0.6343 0.0397  4 N 1.87-1.96
Tc: 0.9055 0.3657 0.5397  4 N 1.87-1.96
N: 0.1671 0.5902 0.5769  2 Tc 1.95-1.96
N: 0.1826 0.0000 0.6826  2 Tc 1.87
N: 0.1826 0.5000 0.1826  2 Tc 1.87
N: 0.4867 0.4098 0.0769  2 Tc 1.95-1.96
N: 0.5133 0.5902 0.9231  2 Tc 1.95-1.96
N: 0.8174 0.0000 0.3174  2 Tc 1.87
N: 0.8174 0.5000 0.8174  2 Tc 1.87
N: 0.8329 0.4098 0.4231  2 Tc 1.95-1.96

Properties
formation energy without anion corrections = -0.15 eV/atom
total moment = 0.00 μB/f.u.
raw total energy = -117.37 eV per cell



2.
First-principles (GGA-PBE) data for an optimized crystal structure of Cd7Ga4Sn, as listed in Alexandria via LeMat-Bulk.

Cell lengths 4.7921, 4.7921, 13.8279 Å; angles 90.00, 90.00, 120.00 degrees
With the nearest neighbours (Å) after each atom.
Fractional coordinates of all 12 atoms:
Cd: 0.0000 0.0000 0.0000  6 Ga 2.98
Cd: 0.0000 0.0000 0.2512  3 Ga 2.90, 3 Cd 3.10
Cd: 0.0000 0.0000 0.7488  3 Ga 2.90, 3 Cd 3.10
Cd: 0.3333 0.6667 0.1505  4 Ga 2.93-3.20, 3 Cd 3.10
Cd: 0.3333 0.6667 0.4000  3 Ga 3.02, 3 Sn 3.09
Cd: 0.6667 0.3333 0.6000  3 Ga 3.02, 3 Sn 3.09
Cd: 0.6667 0.3333 0.8495  4 Ga 2.93-3.20, 3 Cd 3.10
Ga: 0.3333 0.6667 0.6869  6 Cd 2.90-3.02, 1 Ga 3.21
Ga: 0.3333 0.6667 0.9192  7 Cd 2.93-3.20, 1 Ga 3.21
Ga: 0.6667 0.3333 0.0808  7 Cd 2.93-3.20, 1 Ga 3.21
Ga: 0.6667 0.3333 0.3131  6 Cd 2.90-3.02, 1 Ga 3.21
Sn: 0.0000 0.0000 0.5000  8 Cd 3.09-3.44

Properties
total moment = 0.00 μB/f.u.
formation energy = 2.02 kcal/mol of atoms
raw total energy = -21.46 eV per cell



3.
First-principles (GGA-PBE) data for an optimized crystal structure of La2Tb3Nd4, as listed in Alexandria via LeMat-Bulk.

Cell lengths 10.2462, 10.2462, 8.8344 Å; angles 99.16, 99.16, 20.15 degrees
With the nearest neighbours (Å) after each atom.
Fractional coordinates of all 9 atoms:
La: 0.1662 0.1662 0.0403  4 La 3.59-3.99, 4 Nd 3.61-3.79, 4 Tb 3.73-3.77
La: 0.8338 0.8338 0.9597  4 La 3.59-3.99, 4 Nd 3.61-3.79, 4 Tb 3.73-3.77
Tb: 0.3944 0.3944 0.6379  7 Nd 3.52-3.70, 3 Tb 3.54-3.59, 2 La 3.73
Tb: 0.5000 0.5000 0.0000  4 Tb 3.54-3.59, 4 Nd 3.58, 4 La 3.77
Tb: 0.6056 0.6056 0.3621  7 Nd 3.52-3.70, 3 Tb 3.54-3.59, 2 La 3.73
Nd: 0.0490 0.0490 0.6846  4 Nd 3.53-3.59, 6 Tb 3.56-3.70, 1 La 3.61
Nd: 0.2207 0.2207 0.6489  3 Tb 3.52-3.62, 5 Nd 3.53-3.59, 3 La 3.73-3.79
Nd: 0.7793 0.7793 0.3511  3 Tb 3.52-3.62, 5 Nd 3.53-3.59, 3 La 3.73-3.79
Nd: 0.9510 0.9510 0.3154  4 Nd 3.53-3.59, 6 Tb 3.56-3.70, 1 La 3.61

Properties
ΔE to the lowest computed polymorph = 0.019 eV per atom
total moment = 0.00 μB/f.u.
formation energy = 1.72 kcal/mol of atoms
raw total energy = -42.15 eV per cell



Which of these has the lowest raw total energy? K3Tc2N4



Which value of total moment does entry 1 give? 0.00 μB/f.u.



total moment of number 3 (La2Tb3Nd4)? 0.00 μB/f.u.